# Li5Mn6B6O18

Li5Mn6B6O18 after structural relaxation (PBE+U, the Alexandria database).

POSCAR file:
```
Li5Mn6B6O18
1.0
5.190 0.004 -0.001
0.264 7.983 0.009
-2.273 -2.329 9.138
Li Mn B O
5 6 6 18
direct
0.763 0.996 0.693
0.913 0.670 0.643
0.566 0.358 0.987
0.088 0.332 0.354
0.240 0.012 0.315
0.332 0.915 0.845
0.348 0.749 0.494
0.014 0.417 0.829
0.985 0.593 0.167
0.651 0.250 0.506
0.682 0.080 0.164
0.863 0.787 0.926
0.798 0.871 0.395
0.458 0.527 0.724
0.541 0.466 0.277
0.210 0.141 0.616
0.130 0.203 0.059
0.995 0.642 0.965
0.661 0.852 0.991
0.932 0.858 0.824
0.028 0.831 0.343
0.627 0.993 0.345
0.301 0.652 0.671
0.751 0.801 0.504
0.389 0.439 0.815
0.700 0.489 0.681
0.303 0.510 0.323
0.604 0.533 0.173
0.248 0.206 0.503
0.705 0.346 0.337
0.373 0.017 0.666
0.980 0.190 0.674
0.080 0.140 0.171
0.363 0.161 0.011
0.955 0.315 0.996
```

For the energy, the calculation gives -257.9 eV per cell. The space group is P1. For the energy above the most stable polymorph in this dataset, the calculation gives 0.0 meV per atom.



# Li5Mn6B6O18

Li5Mn6B6O18 after structural relaxation (PBE+U, the Alexandria database).

POSCAR file:
```
Li5Mn6B6O18
1.0
6.370 0.000 0.000
-3.185 8.226 -0.002
0.000 -0.153 14.369
Li Mn B O
10 12 12 36
direct
0.104 0.209 0.010
0.079 0.158 0.641
0.315 0.630 0.851
0.330 0.660 0.142
0.355 0.710 0.509
0.565 0.129 0.350
0.580 0.161 0.641
0.604 0.208 0.010
0.830 0.659 0.141
0.853 0.706 0.512
0.175 0.856 0.989
0.159 0.823 0.690
0.424 0.356 0.489
0.410 0.323 0.190
0.157 0.818 0.320
0.412 0.319 0.820
0.907 0.319 0.820
0.661 0.818 0.320
0.913 0.323 0.190
0.932 0.356 0.489
0.664 0.823 0.690
0.681 0.856 0.989
0.003 0.497 0.004
0.250 0.500 0.665
0.000 0.000 0.163
0.004 0.008 0.834
0.494 0.497 0.004
0.253 0.996 0.504
0.501 0.003 0.833
0.751 0.502 0.332
0.254 0.509 0.334
0.499 0.998 0.164
0.749 0.498 0.660
0.743 0.996 0.504
0.082 0.164 0.873
0.244 0.487 0.237
0.181 0.361 0.720
0.187 0.374 0.390
0.244 0.488 0.569
0.079 0.157 0.197
0.171 0.843 0.545
0.317 0.136 0.560
0.069 0.636 0.060
0.424 0.344 0.045
0.025 0.511 0.909
0.275 0.011 0.409
0.431 0.862 0.219
0.432 0.864 0.887
0.492 0.984 0.068
0.326 0.652 0.709
0.492 0.984 0.736
0.576 0.151 0.207
0.578 0.157 0.873
0.683 0.366 0.720
0.681 0.362 0.386
0.742 0.485 0.235
0.736 0.472 0.565
0.332 0.665 0.372
0.737 0.011 0.409
0.487 0.511 0.909
0.919 0.344 0.045
0.567 0.636 0.060
0.818 0.136 0.560
0.672 0.843 0.545
0.933 0.866 0.221
0.828 0.655 0.373
0.937 0.873 0.889
0.994 0.987 0.737
0.988 0.977 0.067
0.828 0.656 0.693
```

For the energy, the calculation gives -515.3 eV per cell. The space group is Cm. For the energy above the most stable polymorph in this dataset, the calculation gives 7.5 meV per atom.



# Li2Mn3B3O9

Li2Mn3B3O9 after structural relaxation (PBE+U, the Alexandria database).

POSCAR file:
```
Li2Mn3B3O9
1.0
-1.584 3.417 -5.060
-7.164 -4.135 -0.288
1.300 5.224 6.848
Li Mn B O
4 6 6 18
direct
0.409 0.298 0.282
0.108 0.974 0.688
0.586 0.989 0.694
0.283 0.721 0.021
0.158 0.004 0.330
0.690 0.012 0.369
0.997 0.349 0.006
0.503 0.378 0.997
0.301 0.603 0.622
0.843 0.661 0.703
0.005 0.000 0.989
0.488 0.999 0.985
0.110 0.329 0.676
0.571 0.333 0.659
0.915 0.667 0.351
0.403 0.672 0.335
0.186 0.258 0.800
0.648 0.269 0.787
0.002 0.213 0.489
0.489 0.216 0.469
0.084 0.184 0.126
0.529 0.193 0.080
0.150 0.524 0.754
0.579 0.524 0.732
0.436 0.583 0.442
0.986 0.616 0.490
0.812 0.530 0.161
0.325 0.558 0.140
0.397 0.899 0.789
0.892 0.948 0.798
0.443 0.861 0.412
0.952 0.852 0.403
0.037 0.858 0.032
0.531 0.909 0.088
```

For the energy, the calculation gives -251.9 eV per cell. The space group is P1. For the energy above the most stable polymorph in this dataset, the calculation gives 22.2 meV per atom.



# LiMnB2O5

LiMnB2O5 after structural relaxation (PBE+U, the Alexandria database).

POSCAR file:
```
LiMnB2O5
1.0
7.024 -1.052 0.082
-1.847 6.858 0.082
2.311 2.592 8.905
Li Mn B O
4 4 8 20
direct
0.848 0.152 0.250
0.378 0.622 0.250
0.622 0.378 0.750
0.152 0.848 0.750
0.924 0.647 0.157
0.647 0.924 0.657
0.353 0.076 0.343
0.076 0.353 0.843
0.741 0.741 0.412
0.764 0.391 0.477
0.741 0.741 0.912
0.391 0.764 0.977
0.609 0.236 0.023
0.259 0.259 0.088
0.236 0.609 0.523
0.259 0.259 0.588
0.733 0.908 0.458
0.755 0.754 0.264
0.908 0.733 0.958
0.841 0.402 0.331
0.291 0.778 0.398
0.754 0.755 0.764
0.562 0.734 0.014
0.266 0.438 0.486
0.402 0.841 0.831
0.778 0.291 0.898
0.222 0.709 0.102
0.598 0.159 0.169
0.734 0.562 0.514
0.438 0.266 0.986
0.246 0.245 0.236
0.709 0.222 0.602
0.159 0.598 0.669
0.092 0.267 0.042
0.245 0.246 0.736
0.267 0.092 0.542
```

For the energy, the calculation gives -266.3 eV per cell. The space group is C2/c.



# LiMn3B3O9

LiMn3B3O9 after structural relaxation (PBE+U, the Alexandria database).

POSCAR file:
```
LiMn3B3O9
1.0
-2.255 1.177 -4.753
-2.706 -7.593 -1.079
-5.468 3.734 6.429
Li Mn B O
2 6 6 18
direct
0.641 0.045 0.632
0.316 0.718 0.971
0.805 0.027 0.220
0.879 0.619 0.120
0.498 0.294 0.436
0.477 0.691 0.554
0.158 0.367 0.881
0.189 0.962 0.781
0.220 0.136 0.109
0.437 0.530 0.219
0.091 0.171 0.548
0.905 0.813 0.451
0.586 0.483 0.780
0.765 0.870 0.897
0.972 0.143 0.117
0.693 0.840 0.025
0.245 0.588 0.109
0.431 0.122 0.233
0.678 0.506 0.201
0.376 0.486 0.341
0.884 0.190 0.425
0.950 0.816 0.308
0.345 0.169 0.547
0.669 0.839 0.473
0.024 0.150 0.679
0.124 0.800 0.572
0.629 0.469 0.633
0.352 0.520 0.805
0.573 0.912 0.779
0.803 0.470 0.902
0.274 0.149 0.972
0.013 0.839 0.884
```

For the energy, the calculation gives -242.0 eV per cell. The space group is P1. For the energy above the most stable polymorph in this dataset, the calculation gives 2.1 meV per atom.



# Li5Mn8B8O24

Li5Mn8B8O24 after structural relaxation (PBE+U, the Alexandria database).

POSCAR file:
```
Li5Mn8B8O24
1.0
-2.455 3.825 -2.693
-8.096 -3.528 2.288
-0.443 6.206 8.332
Li Mn B O
5 8 8 24
direct
0.159 0.998 0.845
0.643 0.521 0.332
0.644 0.492 0.840
0.848 0.992 0.087
0.859 0.009 0.578
0.149 0.316 0.362
0.157 0.678 0.866
0.334 0.829 0.131
0.340 0.174 0.621
0.659 0.844 0.372
0.650 0.161 0.874
0.827 0.337 0.121
0.843 0.658 0.615
0.159 0.654 0.369
0.154 0.340 0.880
0.332 0.162 0.126
0.340 0.838 0.638
0.673 0.177 0.367
0.670 0.830 0.875
0.846 0.676 0.116
0.832 0.317 0.625
0.083 0.687 0.050
0.048 0.298 0.544
0.198 0.040 0.105
0.216 0.290 0.175
0.196 0.965 0.649
0.225 0.704 0.681
0.284 0.522 0.367
0.285 0.781 0.330
0.258 0.208 0.836
0.284 0.467 0.873
0.426 0.187 0.415
0.409 0.838 0.899
0.595 0.166 0.091
0.588 0.839 0.587
0.740 0.543 0.145
0.728 0.805 0.157
0.722 0.185 0.671
0.743 0.448 0.664
0.777 0.310 0.311
0.813 0.055 0.381
0.779 0.696 0.838
0.813 0.953 0.893
0.900 0.661 0.410
0.896 0.336 0.933
```

For the energy, the calculation gives -335.0 eV per cell. The space group is P1.



# Li5Mn3B4O12

Li5Mn3B4O12 after structural relaxation (PBE+U, the Alexandria database).

POSCAR file:
```
Li5Mn3B4O12
1.0
-1.912 3.401 8.315
-5.139 0.142 -1.240
-5.933 -9.022 2.325
Li Mn B O
10 6 8 24
direct
0.234 0.501 0.334
0.924 0.459 0.373
0.418 0.541 0.126
0.739 0.511 0.154
0.751 0.038 0.643
0.766 0.501 0.834
0.076 0.459 0.873
0.249 0.038 0.143
0.582 0.541 0.626
0.261 0.511 0.654
0.579 0.978 0.877
0.240 0.938 0.893
0.073 0.031 0.618
0.421 0.978 0.377
0.760 0.938 0.393
0.927 0.031 0.118
0.575 0.461 0.375
0.908 0.967 0.867
0.078 0.542 0.118
0.415 0.029 0.636
0.092 0.967 0.367
0.425 0.461 0.875
0.585 0.029 0.136
0.922 0.542 0.618
0.583 0.839 0.079
0.907 0.317 0.587
0.203 0.703 0.113
0.943 0.611 0.151
0.547 0.107 0.675
0.286 0.129 0.661
0.440 0.384 0.344
0.705 0.342 0.365
0.779 0.845 0.854
0.037 0.867 0.837
0.092 0.184 0.405
0.423 0.676 0.916
0.093 0.317 0.087
0.417 0.839 0.579
0.453 0.107 0.175
0.714 0.129 0.161
0.797 0.703 0.613
0.057 0.611 0.651
0.221 0.845 0.354
0.963 0.867 0.337
0.560 0.384 0.844
0.295 0.342 0.865
0.577 0.676 0.416
0.908 0.184 0.905
```

For the energy, the calculation gives -339.6 eV per cell. The space group is Pc.



# Li3Mn4B4O12

Li3Mn4B4O12 after structural relaxation (PBE+U, the Alexandria database).

POSCAR file:
```
Li3Mn4B4O12
1.0
9.116 0.000 0.000
0.000 5.287 -0.013
0.000 5.111 10.350
Li Mn B O
6 8 8 24
direct
0.230 0.508 0.344
0.266 0.014 0.819
0.739 0.565 0.090
0.770 0.508 0.844
0.734 0.014 0.319
0.261 0.565 0.590
0.885 0.460 0.380
0.580 0.981 0.864
0.399 0.560 0.116
0.062 0.024 0.621
0.420 0.981 0.364
0.115 0.460 0.880
0.601 0.560 0.616
0.938 0.024 0.121
0.572 0.464 0.369
0.925 0.948 0.878
0.060 0.537 0.134
0.412 0.048 0.620
0.075 0.948 0.378
0.428 0.464 0.869
0.588 0.048 0.120
0.940 0.537 0.634
0.944 0.361 0.574
0.578 0.839 0.077
0.186 0.634 0.160
0.535 0.141 0.661
0.923 0.618 0.166
0.275 0.160 0.627
0.431 0.412 0.337
0.049 0.906 0.814
0.798 0.806 0.893
0.688 0.305 0.363
0.402 0.684 0.904
0.056 0.143 0.429
0.056 0.361 0.074
0.422 0.839 0.577
0.465 0.141 0.161
0.725 0.160 0.127
0.814 0.634 0.660
0.077 0.618 0.666
0.569 0.412 0.837
0.951 0.906 0.314
0.202 0.806 0.393
0.312 0.305 0.863
0.598 0.684 0.404
0.944 0.143 0.929
```

For the energy, the calculation gives -340.3 eV per cell. The space group is Pc. For the energy above the most stable polymorph in this dataset, the calculation gives 6.9 meV per atom.



# Li2Mn3B3O9

Li2Mn3B3O9 after structural relaxation (PBE+U, the Alexandria database).

POSCAR file:
```
Li2Mn3B3O9
1.0
6.263 -0.006 0.035
-1.319 7.639 0.009
-2.712 -3.527 7.885
Li Mn B O
4 6 6 18
direct
0.684 0.993 0.113
0.000 0.662 0.218
0.316 0.007 0.887
0.000 0.338 0.782
0.032 0.291 0.436
0.968 0.709 0.564
0.690 0.940 0.760
0.605 0.368 0.874
0.395 0.632 0.126
0.310 0.060 0.240
0.354 0.635 0.789
0.259 0.032 0.550
0.646 0.365 0.211
0.741 0.968 0.450
0.027 0.294 0.103
0.973 0.706 0.897
0.204 0.579 0.619
0.998 0.174 0.190
0.509 0.816 0.879
0.002 0.826 0.810
0.399 0.081 0.717
0.796 0.421 0.381
0.113 0.849 0.448
0.491 0.184 0.121
0.670 0.496 0.140
0.718 0.830 0.520
0.887 0.151 0.552
0.175 0.474 0.192
0.601 0.919 0.283
0.893 0.220 0.930
0.330 0.504 0.860
0.825 0.526 0.808
0.282 0.170 0.480
0.107 0.780 0.070
```

For the energy, the calculation gives -252.7 eV per cell. The space group is P-1. For the energy above the most stable polymorph in this dataset, the calculation gives 0.0 meV per atom.